This record from Alexandria via LeMat-Bulk describes crystalline Ce3DySn3 at its relaxed geometry. The functional is PBE.

The structure in CIF format:
```
data_Ce3DySn3
_cell_length_a 7.415
_cell_length_b 7.415
_cell_length_c 8.666
_cell_angle_alpha 90.75
_cell_angle_beta 90.75
_cell_angle_gamma 117.94
_space_group_name_H-M_alt 'P 1'
_space_group_IT_number 1
loop_
_space_group_symop_operation_xyz
'x,y,z'
loop_
_atom_site_label
_atom_site_fract_x
_atom_site_fract_y
_atom_site_fract_z
_atom_site_occupancy
Ce1 0.343 0.343 0.564 1
Ce2 0.194 0.806 0.500 1
Ce3 0.657 0.657 0.436 1
Ce4 0.208 0.792 0.000 1
Ce5 0.792 0.208 0.000 1
Ce6 0.806 0.194 0.500 1
Sn1 0.795 0.508 0.747 1
Sn2 0.492 0.205 0.253 1
Sn3 0.205 0.492 0.253 1
Sn4 0.029 0.029 0.254 1
Sn5 0.508 0.795 0.747 1
Sn6 0.971 0.971 0.746 1
Dy1 0.298 0.298 0.955 1
Dy2 0.702 0.702 0.045 1
```

Output
calculated volume	30.06	Å³/atom
E	-5.29	eV per atom
DOS at the Fermi energy	2.9129	states/eV/atom
spin magnetization	0.47	μB per atom
crystal system	monoclinic
E_form	-0.37	eV per atom

---

This record from Alexandria via LeMat-Bulk describes crystalline Cd2GaCl8 at its relaxed geometry. The functional is PBE.

The structure in CIF format:
```
data_Cd2GaCl8
_cell_length_a 6.414
_cell_length_b 7.672
_cell_length_c 7.672
_cell_angle_alpha 91.54
_cell_angle_beta 78.98
_cell_angle_gamma 78.98
_space_group_name_H-M_alt 'P 1'
_space_group_IT_number 1
loop_
_space_group_symop_operation_xyz
'x,y,z'
loop_
_atom_site_label
_atom_site_fract_x
_atom_site_fract_y
_atom_site_fract_z
_atom_site_occupancy
Cl1 0.186 0.240 0.931 1
Cl2 0.814 0.069 0.760 1
Cl3 0.722 0.208 0.208 1
Cl4 0.278 0.792 0.792 1
Cl5 0.211 0.459 0.459 1
Cl6 0.186 0.931 0.240 1
Cl7 0.814 0.760 0.069 1
Cl8 0.789 0.541 0.541 1
Cd1 0.672 0.783 0.783 1
Cd2 0.328 0.217 0.217 1
Ga1 0.000 0.000 0.000 1
```

Output
formation energy without anion corrections	-0.86	eV/atom
calculated volume	32.99	Å³/atom
E	-2.64	eV per atom
spin magnetization	0.09	μB per atom
crystal system	monoclinic

---

This record from Alexandria via LeMat-Bulk describes crystalline InGaNi6 at its relaxed geometry. The functional is PBE.

The structure in CIF format:
```
data_InGaNi6
_cell_length_a 6.350
_cell_length_b 6.350
_cell_length_c 10.385
_cell_angle_alpha 90.00
_cell_angle_beta 90.00
_cell_angle_gamma 109.78
_space_group_name_H-M_alt 'P 1'
_space_group_IT_number 1
loop_
_space_group_symop_operation_xyz
'x,y,z'
loop_
_atom_site_label
_atom_site_fract_x
_atom_site_fract_y
_atom_site_fract_z
_atom_site_occupancy
Ga1 0.000 0.000 0.254 1
Ga2 0.744 0.256 0.500 1
Ga3 0.256 0.744 0.500 1
Ga4 0.000 0.000 0.746 1
Ni1 0.631 0.885 0.620 1
Ni2 0.369 0.115 0.620 1
Ni3 0.883 0.637 0.130 1
Ni4 0.000 0.000 0.000 1
Ni5 0.117 0.363 0.130 1
Ni6 0.363 0.117 0.870 1
Ni7 0.117 0.363 0.870 1
Ni8 0.753 0.247 0.259 1
Ni9 0.753 0.247 0.741 1
Ni10 0.631 0.885 0.380 1
Ni11 0.247 0.753 0.259 1
Ni12 0.115 0.369 0.380 1
Ni13 0.369 0.115 0.380 1
Ni14 0.500 0.500 0.000 1
Ni15 0.000 0.000 0.500 1
Ni16 0.885 0.631 0.620 1
Ni17 0.637 0.883 0.130 1
Ni18 0.885 0.631 0.380 1
Ni19 0.115 0.369 0.620 1
Ni20 0.500 0.500 0.500 1
Ni21 0.363 0.117 0.130 1
Ni22 0.247 0.753 0.741 1
Ni23 0.637 0.883 0.870 1
Ni24 0.883 0.637 0.870 1
In1 0.256 0.744 0.000 1
In2 0.500 0.500 0.252 1
In3 0.500 0.500 0.748 1
In4 0.744 0.256 0.000 1
```

Output
energy above the most stable polymorph in this dataset	7	meV/atom
calculated volume	12.31	Å³/atom
E	-5.21	eV per atom
DOS at the Fermi energy	1.0397	states/eV/atom
spin magnetization	0.18	μB per atom
crystal system	orthorhombic
E_form	-0.16	eV per atom

---

This record from Alexandria via LeMat-Bulk describes crystalline Ti6HPb3 at its relaxed geometry. The functional is PBE.

The structure in CIF format:
```
data_Ti6HPb3
_cell_length_a 7.364
_cell_length_b 5.705
_cell_length_c 5.705
_cell_angle_alpha 60.18
_cell_angle_beta 69.79
_cell_angle_gamma 69.79
_space_group_name_H-M_alt 'P 1'
_space_group_IT_number 1
loop_
_space_group_symop_operation_xyz
'x,y,z'
loop_
_atom_site_label
_atom_site_fract_x
_atom_site_fract_y
_atom_site_fract_z
_atom_site_occupancy
Ti1 0.780 0.323 0.323 1
Ti2 0.410 0.650 0.151 1
Ti3 0.410 0.151 0.650 1
Ti4 0.590 0.849 0.350 1
Ti5 0.220 0.677 0.677 1
Ti6 0.590 0.350 0.849 1
Pb1 0.000 0.000 0.000 1
Pb2 0.208 0.232 0.232 1
Pb3 0.792 0.768 0.768 1
H1 0.500 0.500 0.500 1
```

Output
calculated volume	19.07	Å³/atom
E	-6.12	eV per atom
DOS at the Fermi energy	1.0107	states/eV/atom
spin magnetization	0.00	μB per atom
crystal system	monoclinic

---

This record from Alexandria via LeMat-Bulk describes crystalline Y2TaTlB at its relaxed geometry. The functional is PBE.

The structure in CIF format:
```
data_Y2TaTlB
_cell_length_a 5.397
_cell_length_b 5.422
_cell_length_c 5.397
_cell_angle_alpha 90.00
_cell_angle_beta 90.00
_cell_angle_gamma 90.00
_space_group_name_H-M_alt 'P 1'
_space_group_IT_number 1
loop_
_space_group_symop_operation_xyz
'x,y,z'
loop_
_atom_site_label
_atom_site_fract_x
_atom_site_fract_y
_atom_site_fract_z
_atom_site_occupancy
Y1 0.000 0.000 0.500 1
Y2 0.500 0.000 0.000 1
B1 0.500 0.500 0.500 1
Tl1 0.000 0.500 0.000 1
Ta1 0.000 0.000 0.000 1
```

Output
calculated volume	31.59	Å³/atom
E	-5.24	eV per atom
DOS at the Fermi energy	1.4661	states/eV/atom
spin magnetization	0.00	μB per atom
crystal system	tetragonal
E_form	1.52	eV per atom

---

This record from Alexandria via LeMat-Bulk describes crystalline YAsBr2 at its relaxed geometry. The functional is PBE.

The structure in CIF format:
```
data_YAsBr2
_cell_length_a 5.396
_cell_length_b 5.396
_cell_length_c 3.515
_cell_angle_alpha 90.00
_cell_angle_beta 90.00
_cell_angle_gamma 105.81
_space_group_name_H-M_alt 'P 1'
_space_group_IT_number 1
loop_
_space_group_symop_operation_xyz
'x,y,z'
loop_
_atom_site_label
_atom_site_fract_x
_atom_site_fract_y
_atom_site_fract_z
_atom_site_occupancy
Y1 0.500 0.000 0.500 1
Br1 0.000 0.000 0.000 1
Br2 0.500 0.500 0.000 1
As1 0.000 0.500 0.500 1
```

Output
energy above the most stable polymorph in this dataset	743	meV/atom
formation energy without anion corrections	-0.38	eV/atom
calculated volume	24.62	Å³/atom
E	-3.99	eV per atom
DOS at the Fermi energy	0.5392	states/eV/atom
spin magnetization	0.00	μB per atom
crystal system	orthorhombic

---

This record from Alexandria via LeMat-Bulk describes crystalline Tl3Bi3Pb at its relaxed geometry. The functional is PBE.

The structure in CIF format:
```
data_Tl3Bi3Pb
_cell_length_a 6.489
_cell_length_b 6.489
_cell_length_c 6.489
_cell_angle_alpha 104.58
_cell_angle_beta 104.58
_cell_angle_gamma 104.58
_space_group_name_H-M_alt 'P 1'
_space_group_IT_number 1
loop_
_space_group_symop_operation_xyz
'x,y,z'
loop_
_atom_site_label
_atom_site_fract_x
_atom_site_fract_y
_atom_site_fract_z
_atom_site_occupancy
Tl1 0.543 0.543 0.190 1
Tl2 0.543 0.190 0.543 1
Tl3 0.190 0.543 0.543 1
Bi1 0.514 0.991 0.991 1
Bi2 0.991 0.991 0.514 1
Bi3 0.991 0.514 0.991 1
Pb1 0.026 0.026 0.026 1
```

Output
energy above the most stable polymorph in this dataset	0	meV/atom
calculated volume	34.44	Å³/atom
E	-3.10	eV per atom
DOS at the Fermi energy	0.5656	states/eV/atom
spin magnetization	0.00	μB per atom
crystal system	trigonal
E_form	0.10	eV per atom

---

This record from Alexandria via LeMat-Bulk describes crystalline Cr2Fe2Cl at its relaxed geometry. The functional is PBE.

The structure in CIF format:
```
data_Cr2Fe2Cl
_cell_length_a 3.203
_cell_length_b 3.203
_cell_length_c 7.496
_cell_angle_alpha 77.67
_cell_angle_beta 77.67
_cell_angle_gamma 90.00
_space_group_name_H-M_alt 'P 1'
_space_group_IT_number 1
loop_
_space_group_symop_operation_xyz
'x,y,z'
loop_
_atom_site_label
_atom_site_fract_x
_atom_site_fract_y
_atom_site_fract_z
_atom_site_occupancy
Cr1 0.750 0.250 0.500 1
Cr2 0.250 0.750 0.500 1
Cl1 0.000 0.000 0.000 1
Fe1 0.384 0.384 0.233 1
Fe2 0.616 0.616 0.767 1
```

Output
energy above the most stable polymorph in this dataset	0	meV/atom
formation energy without anion corrections	0.57	eV/atom
calculated volume	14.66	Å³/atom
E	-7.04	eV per atom
DOS at the Fermi energy	0.8194	states/eV/atom
spin magnetization	0.95	μB per atom
crystal system	tetragonal

---

This record from Alexandria via LeMat-Bulk describes crystalline YH8Pt2 at its relaxed geometry. The functional is PBE.

The structure in CIF format:
```
data_YH8Pt2
_cell_length_a 3.764
_cell_length_b 5.483
_cell_length_c 5.483
_cell_angle_alpha 84.13
_cell_angle_beta 69.82
_cell_angle_gamma 69.82
_space_group_name_H-M_alt 'P 1'
_space_group_IT_number 1
loop_
_space_group_symop_operation_xyz
'x,y,z'
loop_
_atom_site_label
_atom_site_fract_x
_atom_site_fract_y
_atom_site_fract_z
_atom_site_occupancy
Y1 0.500 0.000 0.000 1
H1 0.840 0.013 0.308 1
H2 0.844 0.658 0.658 1
H3 0.500 0.315 0.685 1
H4 0.160 0.692 0.987 1
H5 0.840 0.308 0.013 1
H6 0.160 0.987 0.692 1
H7 0.156 0.342 0.342 1
H8 0.500 0.685 0.315 1
Pt1 0.000 0.308 0.692 1
Pt2 0.000 0.692 0.308 1
```

Output
calculated volume	9.06	Å³/atom
E	-4.37	eV per atom
DOS at the Fermi energy	0.1940	states/eV/atom
spin magnetization	0.00	μB per atom
crystal system	monoclinic

---

This record from Alexandria via LeMat-Bulk describes crystalline Pu3Ni at its relaxed geometry. The functional is PBE.

The structure in CIF format:
```
data_Pu3Ni
_cell_length_a 4.671
_cell_length_b 4.671
_cell_length_c 4.671
_cell_angle_alpha 60.00
_cell_angle_beta 60.00
_cell_angle_gamma 60.00
_space_group_name_H-M_alt 'P 1'
_space_group_IT_number 1
loop_
_space_group_symop_operation_xyz
'x,y,z'
loop_
_atom_site_label
_atom_site_fract_x
_atom_site_fract_y
_atom_site_fract_z
_atom_site_occupancy
Pu1 0.750 0.750 0.750 1
Pu2 0.250 0.250 0.250 1
Pu3 0.000 0.000 0.000 1
Ni1 0.500 0.500 0.500 1
```

Output
energy above the most stable polymorph in this dataset	6	meV/atom
calculated volume	18.02	Å³/atom
E	-12.12	eV per atom
DOS at the Fermi energy	4.1151	states/eV/atom
spin magnetization	1.22	μB per atom
crystal system	cubic
E_form	0.07	eV per atom